i.
This record from the Alexandria database describes an optimized crystal structure of Si4Ir3. The functional is PBE.

Cell lengths 9.2981, 9.2981, 9.2981 Å; angles 159.53, 159.53, 29.11 degrees
Last column: nearest neighbours and their distance in Å.
Sites, in units of the cell vectors:
Si 0.0671 0.0671 0.0000  1 Ir 2.33, 1 Si 2.42
Si 0.3475 0.3475 0.0000  6 Ir 2.47-2.75
Si 0.6525 0.6525 0.0000  6 Ir 2.47-2.75
Si 0.9329 0.9329 0.0000  1 Ir 2.33, 1 Si 2.42
Ir 0.1963 0.1963 0.0000  5 Si 2.33-2.47
Ir 0.5000 0.5000 0.0000  10 Si 2.63-2.75
Ir 0.8037 0.8037 0.0000  5 Si 2.33-2.47

Properties
Fermi-level density of states = 2.912 states/eV per cell
symmetry = I4/mmm (139)

***

ii.
This record from the Alexandria database describes an optimized crystal structure of Si4Ir3. The functional is PBE.

Cell lengths 5.3586, 5.3586, 4.1961 Å; angles 90.00, 90.00, 120.00 degrees
Last column: nearest neighbours and their distance in Å.
Sites, in units of the cell vectors:
Si 0.0000 0.0000 0.2440  2 Si 2.05-2.15
Si 0.0000 0.0000 0.7560  2 Si 2.05-2.15
Si 0.3333 0.6667 0.5000  6 Ir 2.61
Si 0.6667 0.3333 0.5000  6 Ir 2.61
Ir 0.0000 0.5000 0.0000  8 Si 2.61-2.87, 4 Ir 2.68
Ir 0.5000 0.0000 0.0000  8 Si 2.61-2.87, 4 Ir 2.68
Ir 0.5000 0.5000 0.0000  8 Si 2.61-2.87, 4 Ir 2.68

Properties
Fermi-level density of states = 3.465 states/eV per cell
symmetry = P6/mmm (191)

***

iii.
This record from the Alexandria database describes an optimized crystal structure of Si4Ir3. The functional is PBE.

Cell lengths 19.0139, 3.7348, 5.8324 Å; angles 90.00, 90.00, 90.00 degrees
Last column: nearest neighbours and their distance in Å.
Sites, in units of the cell vectors:
Si 0.0498 0.2500 0.0272  4 Ir 2.47-2.50, 5 Si 2.63-2.75
Si 0.0909 0.2500 0.5744  6 Ir 2.43-2.69
Si 0.1439 0.7500 0.1109  4 Ir 2.33-2.42
Si 0.2302 0.2500 0.2849  6 Ir 2.44-2.68, 2 Si 2.69
Si 0.2698 0.7500 0.7849  6 Ir 2.44-2.68, 2 Si 2.69
Si 0.3561 0.2500 0.6109  4 Ir 2.33-2.42
Si 0.4091 0.7500 0.0744  6 Ir 2.43-2.69
Si 0.4502 0.7500 0.5272  4 Ir 2.47-2.50, 5 Si 2.63-2.75
Si 0.5498 0.2500 0.4728  4 Ir 2.47-2.50, 5 Si 2.63-2.75
Si 0.5909 0.2500 0.9256  6 Ir 2.43-2.69
Si 0.6439 0.7500 0.3891  4 Ir 2.33-2.42
Si 0.7302 0.2500 0.2151  6 Ir 2.44-2.68, 2 Si 2.69
Si 0.7698 0.7500 0.7151  6 Ir 2.44-2.68, 2 Si 2.69
Si 0.8561 0.2500 0.8891  4 Ir 2.33-2.42
Si 0.9091 0.7500 0.4256  6 Ir 2.43-2.69
Si 0.9502 0.7500 0.9728  4 Ir 2.47-2.50, 5 Si 2.63-2.75
Ir 0.0313 0.7500 0.3047  7 Si 2.42-2.69
Ir 0.1739 0.2500 0.8920  5 Si 2.33-2.53
Ir 0.1761 0.7500 0.4998  6 Si 2.35-2.51
Ir 0.3239 0.2500 0.9998  6 Si 2.35-2.51
Ir 0.3261 0.7500 0.3920  5 Si 2.33-2.53
Ir 0.4687 0.2500 0.8047  7 Si 2.42-2.69
Ir 0.5313 0.7500 0.1953  7 Si 2.42-2.69
Ir 0.6739 0.2500 0.6080  5 Si 2.33-2.53
Ir 0.6761 0.7500 0.0002  6 Si 2.35-2.51
Ir 0.8239 0.2500 0.5002  6 Si 2.35-2.51
Ir 0.8261 0.7500 0.1080  5 Si 2.33-2.53
Ir 0.9687 0.2500 0.6953  7 Si 2.42-2.69

Properties
Fermi-level density of states = 4.994 states/eV per cell
symmetry = Pnma (62)

***

Computed relative energies in units of meV/atom: i 310; ii 799; iii 0

***

i.
This record from the Alexandria database describes an optimized crystal structure of Si5Ir4. The functional is PBE.

Cell lengths 7.4148, 7.4148, 5.2951 Å; angles 90.00, 90.00, 120.00 degrees
Last column: nearest neighbours and their distance in Å.
Sites, in units of the cell vectors:
Si 0.0000 0.2840 0.2500  5 Ir 2.36-2.63
Si 0.0000 0.7160 0.7500  5 Ir 2.36-2.63
Si 0.2840 0.0000 0.2500  5 Ir 2.36-2.63
Si 0.2840 0.2840 0.7500  5 Ir 2.36-2.63
Si 0.3333 0.6667 0.0000  6 Ir 2.63, 2 Si 2.65
Si 0.3333 0.6667 0.5000  6 Ir 2.63, 2 Si 2.65
Si 0.6667 0.3333 0.0000  6 Ir 2.63, 2 Si 2.65
Si 0.6667 0.3333 0.5000  6 Ir 2.63, 2 Si 2.65
Si 0.7160 0.0000 0.7500  5 Ir 2.36-2.63
Si 0.7160 0.7160 0.2500  5 Ir 2.36-2.63
Ir 0.0000 0.0000 0.0000  6 Si 2.49, 2 Ir 2.65
Ir 0.0000 0.0000 0.5000  6 Si 2.49, 2 Ir 2.65
Ir 0.0000 0.3979 0.7500  7 Si 2.36-2.63
Ir 0.0000 0.6021 0.2500  7 Si 2.36-2.63
Ir 0.3979 0.0000 0.7500  7 Si 2.36-2.63
Ir 0.3979 0.3979 0.2500  7 Si 2.36-2.63
Ir 0.6021 0.0000 0.2500  7 Si 2.36-2.63
Ir 0.6021 0.6021 0.7500  7 Si 2.36-2.63

Properties
Fermi-level density of states = 9.555 states/eV per cell
symmetry = P6_3/mcm (193)

***

ii.
This record from the Alexandria database describes an optimized crystal structure of Si5Ir4. The functional is PBE.

Cell lengths 5.9403, 3.6493, 12.4566 Å; angles 90.00, 100.10, 90.00 degrees
Last column: nearest neighbours and their distance in Å.
Sites, in units of the cell vectors:
Si 0.0055 0.2500 0.0779  4 Ir 2.48-2.49, 5 Si 2.62-2.75
Si 0.0308 0.2500 0.7753  4 Ir 2.32-2.43
Si 0.1441 0.7500 0.6370  6 Ir 2.42-2.57, 2 Si 2.68
Si 0.3909 0.7500 0.4249  4 Ir 2.42-2.45
Si 0.4736 0.2500 0.1410  6 Ir 2.44-2.70
Si 0.5264 0.7500 0.8590  6 Ir 2.44-2.70
Si 0.6091 0.2500 0.5751  4 Ir 2.42-2.45
Si 0.8559 0.2500 0.3630  6 Ir 2.42-2.57, 2 Si 2.68
Si 0.9692 0.7500 0.2247  4 Ir 2.32-2.43
Si 0.9945 0.7500 0.9221  4 Ir 2.48-2.49, 5 Si 2.62-2.75
Ir 0.2003 0.2500 0.4994  6 Si 2.42-2.57
Ir 0.2073 0.2500 0.2695  5 Si 2.32-2.56
Ir 0.2832 0.2500 0.9510  7 Si 2.43-2.70
Ir 0.3957 0.2500 0.7268  6 Si 2.35-2.50
Ir 0.6043 0.7500 0.2732  6 Si 2.35-2.50
Ir 0.7168 0.7500 0.0490  7 Si 2.43-2.70
Ir 0.7927 0.7500 0.7305  5 Si 2.32-2.56
Ir 0.7997 0.7500 0.5006  6 Si 2.42-2.57

Properties
Fermi-level density of states = 3.106 states/eV per cell
symmetry = P2_1/m (11)

***

Computed relative energies in units of meV/atom: i 537; ii 0

***

i.
This record from the Alexandria database describes an optimized crystal structure of Si3Ir5. The functional is PBE.

Cell lengths 7.1219, 7.1219, 5.3551 Å; angles 90.00, 90.00, 120.00 degrees
Last column: nearest neighbours and their distance in Å.
Sites, in units of the cell vectors:
Si 0.0000 0.3688 0.2500  7 Ir 2.39-2.63
Si 0.0000 0.6312 0.7500  7 Ir 2.39-2.63
Si 0.3688 0.0000 0.2500  7 Ir 2.39-2.63
Si 0.3688 0.3688 0.7500  7 Ir 2.39-2.63
Si 0.6312 0.0000 0.7500  7 Ir 2.39-2.63
Si 0.6312 0.6312 0.2500  7 Ir 2.39-2.63
Ir 0.0000 0.2963 0.7500  3 Si 2.39-2.41
Ir 0.0000 0.7037 0.2500  3 Si 2.39-2.41
Ir 0.2963 0.0000 0.7500  3 Si 2.39-2.41
Ir 0.2963 0.2963 0.2500  3 Si 2.39-2.41
Ir 0.3333 0.6667 0.0000  6 Si 2.63, 8 Ir 2.68-2.85
Ir 0.3333 0.6667 0.5000  6 Si 2.63, 8 Ir 2.68-2.85
Ir 0.6667 0.3333 0.0000  6 Si 2.63, 8 Ir 2.68-2.85
Ir 0.6667 0.3333 0.5000  6 Si 2.63, 8 Ir 2.68-2.85
Ir 0.7037 0.0000 0.2500  3 Si 2.39-2.41
Ir 0.7037 0.7037 0.7500  3 Si 2.39-2.41

Properties
Fermi-level density of states = 12.104 states/eV per cell
symmetry = P6_3/mcm (193)

***

ii.
This record from the Alexandria database describes an optimized crystal structure of Si3Ir5. The functional is PBE.

Cell lengths 5.7037, 6.9375, 6.9544 Å; angles 80.58, 65.83, 66.24 degrees
Last column: nearest neighbours and their distance in Å.
Sites, in units of the cell vectors:
Si 0.0000 0.0000 0.0000  8 Ir 2.45-2.64
Si 0.0340 0.5021 0.1616  8 Ir 2.43-2.54
Si 0.3381 0.9999 0.3236  8 Ir 2.45-2.65
Si 0.4988 0.3402 0.6616  8 Ir 2.47-2.60
Si 0.5339 0.5018 0.1620  8 Ir 2.43-2.53
Si 0.8364 0.6623 0.6616  8 Ir 2.43-2.71
Ir 0.0108 0.3501 0.8785  5 Si 2.45-2.54, 1 Ir 2.74
Ir 0.0808 0.7827 0.3175  5 Si 2.43-2.56
Ir 0.2304 0.3491 0.4449  5 Si 2.45-2.54
Ir 0.3616 0.6518 0.8833  5 Si 2.43-2.53
Ir 0.4397 0.0002 0.6632  4 Si 2.51-2.65, 4 Ir 2.73-2.75
Ir 0.5056 0.2202 0.0144  5 Si 2.44-2.58
Ir 0.5823 0.6529 0.4405  5 Si 2.43-2.54
Ir 0.7369 0.7830 0.0060  5 Si 2.43-2.56
Ir 0.8598 0.2210 0.3089  5 Si 2.43-2.57
Ir 0.9344 0.0132 0.6617  4 Si 2.51-2.71, 4 Ir 2.73-2.75

Properties
Fermi-level density of states = 9.300 states/eV per cell
symmetry = P1 (1)

***

iii.
This record from the Alexandria database describes an optimized crystal structure of Si3Ir5. The functional is PBE.

Cell lengths 9.4501, 7.2156, 6.7019 Å; angles 90.00, 90.00, 90.00 degrees
Last column: nearest neighbours and their distance in Å.
Sites, in units of the cell vectors:
Si 0.0416 0.2500 0.0803  6 Ir 2.40-2.52
Si 0.1942 0.5406 0.4242  4 Ir 2.40-2.58
Si 0.1942 0.9594 0.4242  4 Ir 2.40-2.58
Si 0.3058 0.0406 0.9242  4 Ir 2.40-2.58
Si 0.3058 0.4594 0.9242  4 Ir 2.40-2.58
Si 0.4584 0.7500 0.5803  6 Ir 2.40-2.52
Si 0.5416 0.2500 0.4197  6 Ir 2.40-2.52
Si 0.6942 0.5406 0.0758  4 Ir 2.40-2.58
Si 0.6942 0.9594 0.0758  4 Ir 2.40-2.58
Si 0.8058 0.0406 0.5758  4 Ir 2.40-2.58
Si 0.8058 0.4594 0.5758  4 Ir 2.40-2.58
Si 0.9584 0.7500 0.9197  6 Ir 2.40-2.52
Ir 0.0497 0.0558 0.7903  3 Si 2.40-2.58
Ir 0.0497 0.4442 0.7903  3 Si 2.40-2.58
Ir 0.0548 0.2500 0.4427  3 Si 2.43-2.48, 5 Ir 2.70-2.72
Ir 0.1970 0.7500 0.1455  2 Si 2.40
Ir 0.2099 0.7500 0.7089  5 Si 2.44-2.70, 4 Ir 2.70-2.73
Ir 0.2901 0.2500 0.2089  5 Si 2.44-2.70, 4 Ir 2.70-2.73
Ir 0.3030 0.2500 0.6455  2 Si 2.40
Ir 0.4452 0.7500 0.9427  3 Si 2.43-2.48, 5 Ir 2.70-2.72
Ir 0.4503 0.5558 0.2903  3 Si 2.40-2.58
Ir 0.4503 0.9442 0.2903  3 Si 2.40-2.58
Ir 0.5497 0.0558 0.7097  3 Si 2.40-2.58
Ir 0.5497 0.4442 0.7097  3 Si 2.40-2.58
Ir 0.5548 0.2500 0.0573  3 Si 2.43-2.48, 5 Ir 2.70-2.72
Ir 0.6970 0.7500 0.3545  2 Si 2.40
Ir 0.7099 0.7500 0.7911  5 Si 2.44-2.70, 4 Ir 2.70-2.73
Ir 0.7901 0.2500 0.2911  5 Si 2.44-2.70, 4 Ir 2.70-2.73
Ir 0.8030 0.2500 0.8545  2 Si 2.40
Ir 0.9452 0.7500 0.5573  3 Si 2.43-2.48, 5 Ir 2.70-2.72
Ir 0.9503 0.5558 0.2097  3 Si 2.40-2.58
Ir 0.9503 0.9442 0.2097  3 Si 2.40-2.58

Properties
Fermi-level density of states = 16.836 states/eV per cell
symmetry = Pnma (62)

***

Computed relative energies in units of meV/atom: i 118; ii 0; iii 60